VASP calculation (PBE) on an optimized crystal structure of NdYPdAu.

Geometry as CIF:
```
data_NdYPdAu
_chemical_formula_sum 'Nd1 Y1 Pd1 Au1'
_space_group_name_H-M_alt 'P 1'
_space_group_IT_number 1
_cell_length_a 3.8386
_cell_length_b 4.7471
_cell_length_c 5.7279
_cell_angle_alpha 90.00
_cell_angle_beta 109.58
_cell_angle_gamma 90.00
loop_
_space_group_symop_operation_xyz
'x,y,z'
loop_
_atom_site_label
_atom_site_type_symbol
_atom_site_fract_x
_atom_site_fract_y
_atom_site_fract_z
_atom_site_occupancy
Pd1 Pd 0.4138 0.0000 0.8277 1
Au1 Au 0.5830 0.5000 0.1660 1
Nd1 Nd 0.1396 0.0000 0.2791 1
Y1 Y 0.8636 0.5000 0.7272 1
```

Results
- Magnetization: 0.00 μB/cell
- Energy of formation from the pure elements: -846 meV/atom
- ΔE to the lowest computed polymorph: 0.0 kJ/mol of atoms
- Density: 9.1 g/cm3